Entry from Alexandria: a geometry-optimized TlMo2W structure (PBE).

Cell lengths 9.1259, 9.1259, 9.1259 Å; angles 19.32, 19.32, 19.32 degrees
Last column: nearest neighbours and their distance in Å.
Atoms (fractional coordinates):
Mo (0.0083, 0.0083, 0.0083)  3 W 2.68
Mo (0.4917, 0.4917, 0.4917)  3 W 2.68
Tl (0.2500, 0.2500, 0.2500)  6 Mo 3.03, 6 Tl 3.06
W (0.7500, 0.7500, 0.7500)  6 Mo 2.68

Summary:
Space group   R-3m
Calculated formation energy   0.60 eV/atom
Energy   -8.643 eV/atom

***

Entry from Alexandria: a geometry-optimized Tl2MoW structure (PBE).

Cell lengths 4.8287, 2.9834, 5.4620 Å; angles 84.02, 90.00, 90.00 degrees
Last column: nearest neighbours and their distance in Å.
Atoms (fractional coordinates):
Tl (0.0000, 0.0040, 0.9998)  2 W 2.91, 2 Mo 2.91, 5 Tl 2.96-3.23
Tl (0.0000, 0.4960, 0.5002)  2 W 2.91, 2 Mo 2.91, 5 Tl 2.96-3.23
W (0.5000, 0.2500, 0.2500)  4 Tl 2.91, 4 Mo 2.97-3.25, 2 W 2.98
Mo (0.5000, 0.7500, 0.7500)  4 Tl 2.91, 4 W 2.97-3.25, 2 Mo 2.98

Summary:
Space group   P2/m
Calculated formation energy   1.02 eV/atom
Energy   -6.111 eV/atom